No. 1
Density functional theory data (PBE-GGA) for a relaxed BaTcPd crystal.

a = 4.870 Å, b = 4.870 Å, c = 4.870 Å
α = 60.00°, β = 60.00°, γ = 60.00°
Atoms (fractional coordinates):
1 Ba 0.000 0.000 0.000
2 Tc 0.250 0.250 0.250
3 Pd 0.750 0.750 0.750

Results
* final energy: -4.4181 eV/atom
* calculated volume: 81.7 Å³/cell
* distance to the lowest polymorph of the same formula: 1.56 eV per formula unit
* size of the total moment: 2.7 μB/f.u.

***

No. 2
Density functional theory data (PBE-GGA) for a relaxed Ba2TcPd crystal.

a = 5.272 Å, b = 5.272 Å, c = 5.272 Å
α = 60.00°, β = 60.00°, γ = 60.00°
Atoms (fractional coordinates):
1 Ba 0.000 0.000 0.000
2 Ba 0.250 0.250 0.250
3 Tc 0.500 0.500 0.500
4 Pd 0.750 0.750 0.750

Results
* final energy: -4.1773 eV/atom
* calculated volume: 103.6 Å³/cell
* size of the total moment: 2.8 μB/f.u.

***

No. 3
Density functional theory data (PBE-GGA) for a relaxed BaTcPd crystal.

a = 4.938 Å, b = 4.938 Å, c = 4.938 Å
α = 60.00°, β = 60.00°, γ = 60.00°
Atoms (fractional coordinates):
1 Ba 0.000 0.000 0.000
2 Tc 0.500 0.500 0.500
3 Pd 0.250 0.250 0.250

Results
* final energy: -4.9389 eV/atom
* calculated volume: 85.1 Å³/cell
* distance to the lowest polymorph of the same formula: 0.00 eV per formula unit
* size of the total moment: 3.6 μB/f.u.

***

No. 4
Density functional theory data (PBE-GGA) for a relaxed BaTe2Pd crystal.

a = 7.072 Å, b = 7.072 Å, c = 6.077 Å
α = 90.00°, β = 90.00°, γ = 114.25°
Atoms (fractional coordinates):
1 Ba 0.143 0.857 0.750
2 Ba 0.857 0.143 0.250
3 Te 0.159 0.368 0.750
4 Te 0.368 0.159 0.250
5 Te 0.632 0.841 0.750
6 Te 0.841 0.632 0.250
7 Pd 0.500 0.500 0.000
8 Pd 0.500 0.500 0.500

Results
* final energy: -4.3200 eV/atom
* calculated volume: 277.1 Å³/cell

***

No. 5
Density functional theory data (PBE-GGA) for a relaxed Ba3TlPd8 crystal.

a = 9.816 Å, b = 9.816 Å, c = 9.816 Å
α = 33.48°, β = 33.48°, γ = 33.48°
Atoms (fractional coordinates):
1 Ba 0.000 0.000 0.000
2 Ba 0.127 0.127 0.127
3 Ba 0.507 0.507 0.507
4 Tl 0.630 0.630 0.630
5 Pd 0.061 0.565 0.565
6 Pd 0.067 0.067 0.567
7 Pd 0.067 0.567 0.067
8 Pd 0.315 0.315 0.315
9 Pd 0.565 0.061 0.565
10 Pd 0.565 0.565 0.061
11 Pd 0.567 0.067 0.067
12 Pd 0.816 0.816 0.816

Results
* final energy: -4.6219 eV/atom
* calculated volume: 256.3 Å³/cell

***

No. 6
Density functional theory data (PBE-GGA) for a relaxed BaTl2Pd2 crystal.

a = 6.788 Å, b = 6.788 Å, c = 6.788 Å
α = 139.08°, β = 139.08°, γ = 59.25°
Atoms (fractional coordinates):
1 Ba 0.000 0.000 0.000
2 Tl 0.250 0.750 0.500
3 Tl 0.750 0.250 0.500
4 Pd 0.385 0.385 0.000
5 Pd 0.615 0.615 0.000

Results
* final energy: -3.7916 eV/atom
* calculated volume: 132.9 Å³/cell

***

No. 7
Density functional theory data (PBE-GGA) for a relaxed BaTl2Pd2 crystal.

a = 6.428 Å, b = 6.428 Å, c = 6.428 Å
α = 134.15°, β = 134.15°, γ = 66.86°
Atoms (fractional coordinates):
1 Ba 0.000 0.000 0.000
2 Tl 0.357 0.357 0.000
3 Tl 0.643 0.643 0.000
4 Pd 0.250 0.750 0.500
5 Pd 0.750 0.250 0.500

Results
* final energy: -3.7903 eV/atom
* calculated volume: 134.6 Å³/cell

***

No. 8
Density functional theory data (PBE-GGA) for a relaxed BaTlPd crystal.

a = 5.156 Å, b = 5.156 Å, c = 5.156 Å
α = 60.00°, β = 60.00°, γ = 60.00°
Atoms (fractional coordinates):
1 Ba 0.000 0.000 0.000
2 Tl 0.500 0.500 0.500
3 Pd 0.250 0.250 0.250

Results
* final energy: -3.5141 eV/atom
* calculated volume: 96.9 Å³/cell

***

No. 9
Density functional theory data (PBE-GGA) for a relaxed BaTl5Pd2 crystal.

a = 8.322 Å, b = 6.094 Å, c = 6.094 Å
α = 44.85°, β = 90.00°, γ = 90.00°
Atoms (fractional coordinates):
1 Ba 0.000 0.000 0.000
2 Tl 0.213 0.705 0.705
3 Tl 0.307 0.410 0.410
4 Tl 0.500 0.121 0.121
5 Tl 0.693 0.410 0.410
6 Tl 0.787 0.705 0.705
7 Pd 0.000 0.284 0.284
8 Pd 0.500 0.856 0.856

Results
* final energy: -3.2643 eV/atom
* calculated volume: 218.0 Å³/cell

***

No. 10
Density functional theory data (PBE-GGA) for a relaxed BaTmPd crystal.

a = 5.067 Å, b = 5.067 Å, c = 5.067 Å
α = 60.00°, β = 60.00°, γ = 60.00°
Atoms (fractional coordinates):
1 Ba 0.000 0.000 0.000
2 Tm 0.250 0.250 0.250
3 Pd 0.750 0.750 0.750

Results
* final energy: -3.2829 eV/atom
* calculated volume: 92.0 Å³/cell
* distance to the lowest polymorph of the same formula: 2.31 eV per formula unit
* size of the total moment: 0.0 μB/f.u.

***

No. 11
Density functional theory data (PBE-GGA) for a relaxed BaTmPd crystal.

a = 5.168 Å, b = 5.168 Å, c = 5.168 Å
α = 60.00°, β = 60.00°, γ = 60.00°
Atoms (fractional coordinates):
1 Ba 0.000 0.000 0.000
2 Tm 0.500 0.500 0.500
3 Pd 0.250 0.250 0.250

Results
* final energy: -4.0529 eV/atom
* calculated volume: 97.6 Å³/cell
* distance to the lowest polymorph of the same formula: 0.00 eV per formula unit
* size of the total moment: 0.0 μB/f.u.

***

No. 12
Density functional theory data (PBE-GGA) for a relaxed BaU3Pd crystal.

a = 5.478 Å, b = 5.478 Å, c = 5.478 Å
α = 90.00°, β = 90.00°, γ = 90.00°
Atoms (fractional coordinates):
1 Ba 0.000 0.000 0.000
2 U 0.000 0.000 0.500
3 U 0.000 0.500 0.000
4 U 0.500 0.000 0.000
5 Pd 0.500 0.500 0.500

Results
* final energy: -5.9922 eV/atom
* calculated volume: 164.4 Å³/cell
* size of the total moment: 8.4 μB/f.u.

***

> Which value of final energy does entry 12 give?

-5.9922 eV/atom

***

> What is the final energy in the third record?

-4.9389 eV/atom

***

Please write out number 10 again, unchanged.
Density functional theory data (PBE-GGA) for a relaxed BaTmPd crystal.

a = 5.067 Å, b = 5.067 Å, c = 5.067 Å
α = 60.00°, β = 60.00°, γ = 60.00°
Atoms (fractional coordinates):
1 Ba 0.000 0.000 0.000
2 Tm 0.250 0.250 0.250
3 Pd 0.750 0.750 0.750

Results
* final energy: -3.2829 eV/atom
* calculated volume: 92.0 Å³/cell
* distance to the lowest polymorph of the same formula: 2.31 eV per formula unit
* size of the total moment: 0.0 μB/f.u.

***

> Which formula does entry 6 have?

BaTl2Pd2